No. 1
## TbScSi (PBE-GGA)

Data for an optimized crystal structure of TbScSi.

a = 8.578 Å, b = 8.578 Å, c = 6.169 Å
α = 90.00°, β = 90.00°, γ = 115.49°
Element x y z (fractional)
Tb  0.696  0.981  0.000
Tb  0.312  0.312  0.000
Tb  0.981  0.696  0.000
Tb  0.752  0.752  0.500
Tb  0.994  0.252  0.500
Tb  0.252  0.994  0.500
Si  0.623  0.623  0.000
Si  0.999  0.591  0.500
Si  0.591  0.999  0.500
Si  0.022  0.022  0.191
Si  0.022  0.022  0.809
Si  0.411  0.411  0.500
Sc  0.658  0.348  0.251
Sc  0.339  0.998  0.000
Sc  0.998  0.339  0.000
Sc  0.348  0.658  0.749
Sc  0.348  0.658  0.251
Sc  0.658  0.348  0.749

E_form (uncorrected) = -443 meV per atom
Size of the total moment = 0.000 μB/atom
Symmetry = Amm2 (38)
D(E_F) = 3.18 states/eV/f.u.
Total energy = -106.29 eV per cell



No. 2
## CsNa2SrAs (PBE-GGA)

Data for an optimized crystal structure of CsNa2SrAs.

a = 6.112 Å, b = 6.112 Å, c = 6.086 Å
α = 90.00°, β = 90.00°, γ = 90.00°
Element x y z (fractional)
As  0.000  0.000  0.000
Cs  0.500  0.500  0.500
Sr  0.000  0.000  0.500
Na  0.000  0.500  0.000
Na  0.500  0.000  0.000

Energy of formation from the pure elements = -0.260 eV per atom
Size of the total moment = 0.000 μB/atom
Symmetry = P4/mmm (123)
D(E_F) = 2.87 states/eV/f.u.
Total energy = -11.12 eV per cell



No. 3
## DyEr10Sc6 (PBE-GGA)

Data for an optimized crystal structure of DyEr10Sc6.

a = 6.571 Å, b = 9.303 Å, c = 9.303 Å
α = 120.00°, β = 90.00°, γ = 90.00°
Element x y z (fractional)
Er  0.000  0.333  0.667
Er  0.182  0.282  0.282
Er  0.818  0.282  0.000
Er  0.182  0.000  0.718
Er  0.500  0.333  0.667
Er  0.182  0.718  0.000
Er  0.000  0.667  0.333
Er  0.818  0.718  0.718
Er  0.500  0.667  0.333
Er  0.818  0.000  0.282
Sc  0.685  0.629  0.000
Sc  0.315  0.371  0.000
Sc  0.685  0.371  0.371
Sc  0.685  0.000  0.629
Sc  0.315  0.000  0.371
Sc  0.315  0.629  0.629
Dy  0.500  0.000  0.000

Energy of formation from the pure elements = 0.137 eV per atom
Size of the total moment = 0.000 μB/atom
Symmetry = P-31m (162)
D(E_F) = 31.18 states/eV/f.u.
Total energy = -85.89 eV per cell



No. 4
## K2SiCl2F4 (PBE-GGA)

Data for an optimized crystal structure of K2SiCl2F4.

a = 5.022 Å, b = 6.610 Å, c = 6.610 Å
α = 52.50°, β = 91.55°, γ = 91.55°
Element x y z (fractional)
F  0.720  0.247  0.832
F  0.280  0.753  0.168
F  0.280  0.168  0.753
F  0.720  0.832  0.247
Si  0.500  0.000  0.000
K  0.148  0.639  0.639
K  0.852  0.361  0.361
Cl  0.339  0.180  0.180
Cl  0.661  0.820  0.820

E_form (uncorrected) = -2564 meV per atom
Size of the total moment = 0.000 μB/atom
Symmetry = C2/m (12)
D(E_F) = 0.00 states/eV/f.u.
Total energy = -41.87 eV per cell



No. 5
## Ba2TlCdOs (PBE-GGA)

Data for an optimized crystal structure of Ba2TlCdOs.

a = 5.861 Å, b = 5.376 Å, c = 5.861 Å
α = 90.00°, β = 90.00°, γ = 90.00°
Element x y z (fractional)
Cd  0.000  0.500  0.000
Ba  0.000  0.000  0.500
Ba  0.500  0.000  0.000
Os  0.000  0.000  0.000
Tl  0.500  0.500  0.500

Energy of formation from the pure elements = 0.326 eV per atom
Size of the total moment = 0.000 μB/atom
Symmetry = P4/mmm (123)
D(E_F) = 3.52 states/eV/f.u.
Total energy = -16.73 eV per cell



No. 6
## SrLa2NpO8 (PBE-GGA)

Data for an optimized crystal structure of SrLa2NpO8.

a = 4.182 Å, b = 5.518 Å, c = 7.948 Å
α = 90.00°, β = 90.00°, γ = 95.49°
Site moments in Bohr magnetons follow the coordinates.
Element x y z (fractional)
O  0.042  0.769  0.201  0.01
O  0.493  0.720  0.500  0.40
O  0.958  0.231  0.799  0.01
O  0.507  0.280  0.500  0.40
O  0.958  0.231  0.201  0.01
O  0.433  0.217  0.000  0.02
O  0.042  0.769  0.799  0.01
O  0.567  0.783  0.000  0.02
La  0.500  0.500  0.762  0.00
La  0.500  0.500  0.238  0.00
Sr  0.000  0.000  0.500  0.01
Np  0.000  0.000  0.000  -0.02

E_form (uncorrected) = -2889 meV per atom
Size of the total moment = 0.088 μB/atom
Symmetry = P2/m (10)
D(E_F) = 4.60 states/eV/f.u.
Total energy = -98.81 eV per cell